[1]
Material: Cd2CuH6Ru
Method: DFT, PBE
State: optimized geometry

Values from the calculation:
DFT total energy: -3.36 eV per atom
density of states at the Fermi level: 1.6 states/eV/f.u.

Cell and atoms, written as extended XYZ:
```
10
Lattice="4.779 0.000 0.000 -2.359 4.466 0.000 -2.351 -1.313 4.284" Properties=species:S:1:pos:R:3 pbc="T T T"
Cd -1.176 0.727 1.126
Cd 1.247 2.426 3.158
Cu 1.210 2.233 0.000
H -2.216 2.984 1.017
H 0.003 3.028 1.073
H 1.211 0.746 1.097
H -1.141 2.407 3.187
H 0.067 0.125 3.211
H 2.286 0.169 3.267
Ru 1.214 -0.656 2.142
```

[2]
Material: FeRu2
Method: DFT, PBE
State: optimized geometry

Values from the calculation:
DFT total energy: -8.67 eV per atom
density of states at the Fermi level: 4.1 states/eV/f.u.

Cell and atoms, written as extended XYZ:
```
3
Lattice="4.271 0.000 0.000 -2.135 3.699 0.000 0.000 0.000 2.616" Properties=species:S:1:pos:R:3 pbc="T T T"
Fe 0.000 0.000 0.000
Ru 0.000 2.466 1.308
Ru 2.136 1.233 1.308
```

[3]
Material: Ta2Nb6W
Method: DFT, PBE
State: optimized geometry

Values from the calculation:
DFT total energy: -10.80 eV per atom
density of states at the Fermi level: 14.0 states/eV/f.u.

Cell and atoms, written as extended XYZ:
```
9
Lattice="2.844 0.000 0.000 0.972 7.177 0.000 0.083 1.506 7.901" Properties=species:S:1:pos:R:3 pbc="T T T"
Ta 0.504 1.274 0.435
Ta 3.395 7.409 7.466
Nb 1.496 6.878 4.818
Nb 1.473 3.837 1.343
Nb 1.476 2.310 5.689
Nb 2.423 6.373 2.212
Nb 2.426 4.846 6.557
Nb 2.403 1.805 3.083
W 0.527 4.342 3.950
```

[4]
Material: CsErIn2
Method: DFT, PBE
State: optimized geometry

Values from the calculation:
DFT total energy: -2.91 eV per atom
density of states at the Fermi level: 3.0 states/eV/f.u.

Cell and atoms, written as extended XYZ:
```
4
Lattice="3.880 0.000 0.000 0.000 3.880 0.000 0.000 0.000 9.197" Properties=species:S:1:pos:R:3 pbc="T T T"
Cs 0.000 0.000 0.000
Er 0.000 0.000 4.599
In 1.940 1.940 2.917
In 1.940 1.940 6.281
```

[5]
Material: KBaZn2
Method: DFT, PBE
State: optimized geometry

Values from the calculation:
DFT total energy: -1.42 eV per atom
density of states at the Fermi level: 3.4 states/eV/f.u.

Cell and atoms, written as extended XYZ:
```
4
Lattice="5.028 0.000 0.000 0.000 4.719 0.000 -2.508 0.000 6.120" Properties=species:S:1:pos:R:3 pbc="T T T"
K 0.000 0.000 0.000
Ba 2.517 2.359 2.531
Zn 0.003 0.000 3.715
Zn 0.005 2.359 4.854
```

[6]
Material: MgRe2Mo
Method: DFT, PBE
State: optimized geometry

Values from the calculation:
DFT total energy: -9.08 eV per atom
density of states at the Fermi level: 2.2 states/eV/f.u.

Cell and atoms, written as extended XYZ:
```
8
Lattice="3.092 0.000 0.000 0.000 4.474 0.000 0.000 0.000 9.213" Properties=species:S:1:pos:R:3 pbc="T T T"
Mg 0.000 0.000 0.000
Mg 1.546 2.237 0.000
Re 0.000 0.000 4.567
Re 0.000 2.237 2.374
Re 1.546 0.000 2.374
Re 1.546 2.237 4.567
Mo 0.000 2.237 6.777
Mo 1.546 0.000 6.777
```

[7]
Material: SrAg2F6
Method: DFT, PBE
State: optimized geometry

Values from the calculation:
uncorrected formation energy: -1.998 eV per atom
density of states at the Fermi level: 4.5 states/eV/f.u.

Cell and atoms, written as extended XYZ:
```
9
Lattice="6.008 0.000 0.000 -3.004 5.203 0.000 0.000 0.000 4.887" Properties=species:S:1:pos:R:3 pbc="T T T"
Sr 0.000 0.000 0.000
Ag 0.000 3.468 2.444
Ag 3.004 1.734 2.444
F -1.043 1.806 3.547
F -1.961 3.397 1.340
F 2.086 0.000 3.547
F 1.043 1.806 1.340
F 3.922 0.000 1.340
F 1.961 3.397 3.547
```

[8]
Material: ZnCu2Se
Method: DFT, PBE
State: optimized geometry

Values from the calculation:
uncorrected formation energy: 0.124 eV per atom
density of states at the Fermi level: 1.0 states/eV/f.u.

Cell and atoms, written as extended XYZ:
```
8
Lattice="3.873 0.000 0.000 0.000 3.873 0.000 0.000 0.000 7.975" Properties=species:S:1:pos:R:3 pbc="T T T"
Zn 0.000 0.000 0.000
Zn 1.936 1.936 3.988
Cu 0.000 1.936 1.994
Cu 0.000 1.936 5.981
Cu 1.936 0.000 1.994
Cu 1.936 0.000 5.981
Se 0.000 0.000 3.988
Se 1.936 1.936 0.000
```

[9]
Material: UCuBi2
Method: DFT, PBE
State: optimized geometry

Values from the calculation:
DFT total energy: -5.75 eV per atom
density of states at the Fermi level: 7.8 states/eV/f.u.

Cell and atoms, written as extended XYZ:
```
8
Lattice="4.571 0.000 0.000 0.000 4.571 0.000 0.000 0.000 9.467" Properties=species:S:1:pos:R:3 pbc="T T T"
U 1.143 1.143 2.192
U 3.428 3.428 7.276
Cu 1.143 3.428 0.000
Cu 3.428 1.143 0.000
Bi 1.143 1.143 7.823
Bi 1.143 3.428 4.734
Bi 3.428 1.143 4.734
Bi 3.428 3.428 1.645
```

[10]
Material: GeAs2SeCl
Method: DFT, PBE
State: optimized geometry

Values from the calculation:
uncorrected formation energy: 0.983 eV per atom
density of states at the Fermi level: 4.7 states/eV/f.u.

Cell and atoms, written as extended XYZ:
```
5
Lattice="4.857 0.000 0.000 0.000 4.857 0.000 0.000 0.000 5.196" Properties=species:S:1:pos:R:3 pbc="T T T"
Ge 0.000 0.000 0.000
As 0.000 2.428 2.598
As 2.428 0.000 2.598
Se 2.428 2.428 0.000
Cl 2.428 2.428 2.598
```

[11]
Material: MgTlF3
Method: DFT, PBE
State: optimized geometry

Values from the calculation:
uncorrected formation energy: -2.811 eV per atom
density of states at the Fermi level: 0.0 states/eV/f.u.

Cell and atoms, written as extended XYZ:
```
10
Lattice="2.736 1.580 6.776 -2.736 1.580 6.776 0.000 -3.160 6.776" Properties=species:S:1:pos:R:3 pbc="T T T"
Mg 0.000 0.000 3.378
Mg 0.000 0.000 16.951
Tl 0.000 0.000 7.660
Tl 0.000 0.000 12.668
F -1.054 -1.817 9.063
F -2.101 0.004 11.265
F -1.046 1.821 9.063
F 1.046 -1.821 11.265
F 2.101 -0.004 9.063
F 1.054 1.817 11.265
```

[12]
Material: TlBTeN2
Method: DFT, PBE
State: optimized geometry

Values from the calculation:
uncorrected formation energy: 2.517 eV per atom
density of states at the Fermi level: 2.9 states/eV/f.u.

Cell and atoms, written as extended XYZ:
```
5
Lattice="4.187 0.000 0.000 0.000 4.187 0.000 0.000 0.000 6.670" Properties=species:S:1:pos:R:3 pbc="T T T"
Tl 0.000 0.000 0.000
B 2.094 2.094 3.335
Te 0.000 0.000 3.335
N 0.000 2.094 0.000
N 2.094 0.000 0.000
```

[13]
Material: La4Nd3Ag4
Method: DFT, PBE
State: optimized geometry

Values from the calculation:
DFT total energy: -4.21 eV per atom
density of states at the Fermi level: 9.6 states/eV/f.u.

Cell and atoms, written as extended XYZ:
```
11
Lattice="-2.645 3.789 8.378 2.645 -3.789 8.378 2.645 3.789 -8.378" Properties=species:S:1:pos:R:3 pbc="T T T"
La 2.645 -2.079 5.444
La 0.000 1.710 2.933
La 2.645 2.079 5.444
La 0.000 5.868 2.933
Nd 2.645 0.000 0.000
Nd 0.000 0.000 6.734
Nd 0.000 0.000 10.021
Ag 2.645 0.000 3.101
Ag 0.000 2.377 0.000
Ag 0.000 5.201 0.000
Ag 0.000 3.789 5.277
```